The following is a GGA-PBE calculation of crystalline Ca3Sm4Se8 at its relaxed geometry, from the Alexandria database.

```
data_Ca3Sm4Se8
_chemical_formula_sum 'Ca3 Sm4 Se8'
_cell_length_a 8.3490
_cell_length_b 8.3496
_cell_length_c 8.3496
_cell_angle_alpha 90.14
_cell_angle_beta 119.82
_cell_angle_gamma 119.82
_space_group_name_H-M_alt 'P 1'
_space_group_IT_number 1
_space_group_name_Hall 'P 1'
loop_
_atom_site_label
_atom_site_fract_x
_atom_site_fract_y
_atom_site_fract_z
_atom_site_occupancy
Ca1 0.5000 0.5000 0.0000 1
Ca2 0.5000 0.0000 0.5000 1
Ca3 0.5000 0.5000 0.5000 1
Sm1 0.5000 0.0000 0.0000 1
Sm2 0.0000 0.5000 0.0000 1
Sm3 0.0000 0.0000 0.0000 1
Sm4 0.0000 0.0000 0.5000 1
Se1 0.4947 0.2459 0.2459 1
Se2 0.0000 0.7502 0.2498 1
Se3 0.9995 0.2510 0.2510 1
Se4 0.5000 0.7495 0.2505 1
Se5 0.5000 0.2505 0.7495 1
Se6 0.0005 0.7490 0.7490 1
Se7 0.0000 0.2498 0.7502 1
Se8 0.5053 0.7541 0.7541 1
```

## Properties
For the density of states at the Fermi level, the calculation gives 4.066 states/eV/f.u. The calculation puts the raw formation energy at -1923.0 meV/atom. The calculation puts the electronic total energy at -81.602 eV/cell. The total magnetization comes out at 0.00 μB/cell. The crystal system is monoclinic.